Entry 1:
This record from the Alexandria database describes TiMoSCl2 after structural relaxation. The functional is PBE.

```
TiMoSCl2
1.0
-2.3036 -3.3943 2.5674
3.1277 -3.3300 -1.5962
2.8294 0.8818 3.7045
Cl Ti Mo S
2 1 1 1
Direct
0.0000 0.5000 0.0000 Cl
0.5000 0.0000 0.0000 Cl
0.5000 0.5000 0.5000 Ti
0.0000 0.0000 0.0000 Mo
0.0000 0.0000 0.5000 S
```

Output
excess energy over the best structure of this formula in the dataset: 1.73 eV/f.u.
DFT total energy: -5.039 eV per atom
formation energy from raw total energies: 0.270 eV per atom


Entry 2:
This record from the Alexandria database describes Li2AcY2Sn2 after structural relaxation. The functional is PBE.

```
Li2AcY2Sn2
1.0
-0.6087 3.0185 3.7799
2.3267 -0.8515 4.1989
7.8034 5.8864 -0.2999
Li Ac Sn Y
2 1 2 2
Direct
0.5807 0.5807 0.2579 Li
0.4193 0.4193 0.7421 Li
0.0000 0.0000 0.0000 Ac
0.2548 0.2548 0.2357 Sn
0.7452 0.7452 0.7643 Sn
0.8680 0.8680 0.3959 Y
0.1320 0.1320 0.6041 Y
```

Output
DFT total energy: -4.609 eV per atom
calculated formation energy: -485 meV/atom


Entry 3:
This record from the Alexandria database describes Nd5AsS4 after structural relaxation. The functional is PBE.

```
Nd5AsS4
1.0
4.0752 0.0000 -0.5743
-0.0809 4.0744 -0.5743
0.0109 0.0111 14.8223
Nd As S
5 1 4
Direct
0.5000 0.5000 0.0000 Nd
0.2990 0.2990 0.5980 Nd
0.7010 0.7010 0.4020 Nd
0.1012 0.1012 0.2024 Nd
0.8988 0.8988 0.7976 Nd
0.0000 0.0000 0.0000 As
0.6011 0.6011 0.2022 S
0.3989 0.3989 0.7978 S
0.2004 0.2004 0.4008 S
0.7996 0.7996 0.5992 S
```

Output
DFT total energy: -6.428 eV per atom
formation energy from raw total energies: -1.928 eV per atom


Entry 4:
This record from the Alexandria database describes LiOs2Cl after structural relaxation. The functional is PBE.

```
LiOs2Cl
1.0
2.7385 0.0224 0.0000
-1.2908 2.4153 0.0000
0.0000 0.0000 9.8179
Os Cl Li
2 1 1
Direct
0.5000 0.5000 0.2057 Os
0.0000 0.0000 0.9871 Os
0.0000 0.0000 0.5662 Cl
0.5000 0.5000 0.7410 Li
```

Output
excess energy over the best structure of this formula in the dataset: 1.04 eV/f.u.
DFT total energy: -6.173 eV per atom
formation energy from raw total energies: 0.382 eV per atom


Entry 5:
This record from the Alexandria database describes Ba3Zr2PbO9 after structural relaxation. The functional is PBE.

```
Ba3Zr2PbO9
1.0
-4.4904 -3.9321 1.0219
5.2492 -1.9342 -2.3183
2.5916 -1.1789 6.8517
O Zr Ba Pb
9 2 3 1
Direct
0.3393 0.1697 0.6711 O
0.1697 0.3393 0.3289 O
0.8303 0.1697 0.6711 O
0.8303 0.6607 0.6711 O
0.6607 0.8303 0.3289 O
0.1697 0.8303 0.3289 O
0.0000 0.5000 0.0000 O
0.5000 0.0000 0.0000 O
0.5000 0.5000 0.0000 O
0.6667 0.3333 0.8370 Zr
0.3333 0.6667 0.1630 Zr
0.3333 0.6667 0.6644 Ba
0.0000 0.0000 0.0000 Ba
0.6667 0.3333 0.3356 Ba
0.0000 0.0000 0.5000 Pb
```

Output
DFT total energy: -7.457 eV per atom
formation energy from raw total energies: -2.711 eV per atom


Entry 6:
This record from the Alexandria database describes Cd3Ag after structural relaxation. The functional is PBE.

```
Cd3Ag
1.0
5.7771 -0.0094 -0.0307
-2.6260 5.1457 -0.0307
-2.6260 -4.2804 2.8561
Ag Cd
1 3
Direct
0.0000 0.0000 0.0000 Ag
0.5000 0.0000 0.5000 Cd
0.5000 0.5000 0.0000 Cd
0.0000 0.5000 0.5000 Cd
```

Output
DFT total energy: -1.387 eV per atom
calculated formation energy: 12 meV/atom


Entry 7:
This record from the Alexandria database describes CeNd3Hg2C after structural relaxation. The functional is PBE.

```
CeNd3Hg2C
1.0
4.9317 0.0000 0.0000
0.0000 5.1512 0.0000
-2.4658 -2.5756 7.7049
Nd Hg Ce C
3 2 1 1
Direct
0.8302 0.8302 0.6603 Nd
0.0000 0.5000 0.0000 Nd
0.1698 0.1698 0.3397 Nd
0.3691 0.3691 0.7381 Hg
0.6309 0.6309 0.2619 Hg
0.5000 0.0000 0.0000 Ce
0.0000 0.0000 0.0000 C
```

Output
DFT total energy: -4.570 eV per atom
calculated formation energy: -275 meV/atom


Entry 8:
This record from the Alexandria database describes Dy2P4Rh5 after structural relaxation. The functional is PBE.

```
Dy2P4Rh5
1.0
-2.9802 3.7635 2.5081
-5.4614 -0.5762 0.2234
-0.8681 -1.6641 7.3135
Rh P Dy
5 4 2
Direct
0.0000 0.5000 0.0000 Rh
0.2500 0.5000 0.5000 Rh
0.7500 0.5000 0.5000 Rh
0.5000 0.0000 0.0000 Rh
0.5000 0.5000 0.0000 Rh
0.7853 0.6879 0.7416 P
0.5268 0.6879 0.2584 P
0.2147 0.3121 0.2584 P
0.4732 0.3121 0.7416 P
0.8659 0.0000 0.2683 Dy
0.1341 0.0000 0.7317 Dy
```

Output
DFT total energy: -7.035 eV per atom
calculated formation energy: -889 meV/atom


Entry 9:
This record from the Alexandria database describes Mg5HIr4 after structural relaxation. The functional is PBE.

```
Mg5HIr4
1.0
-0.8093 4.2346 1.1598
-4.2041 -2.8363 -1.1719
-3.0275 -2.5096 7.0418
Mg Ir H
5 4 1
Direct
0.6543 0.8747 0.4276 Mg
0.1685 0.9002 0.7057 Mg
0.9199 0.4068 0.5556 Mg
0.2342 0.0359 0.1276 Mg
0.5600 0.6865 0.0165 Mg
0.3865 0.3395 0.3814 Ir
0.8806 0.3280 0.9173 Ir
0.4407 0.4483 0.7348 Ir
0.9234 0.4138 0.2084 Ir
0.7511 0.0675 0.8155 H
```

Output
excess energy over the best structure of this formula in the dataset: 0.59 eV/f.u.
DFT total energy: -4.918 eV per atom


Entry 10:
This record from the Alexandria database describes HoP2PbS8 after structural relaxation. The functional is PBE.

```
HoP2PbS8
1.0
5.9906 0.0000 0.0000
-2.9953 5.1880 0.0000
0.0000 0.0000 9.0520
P S Ho Pb
2 8 1 1
Direct
0.3333 0.6667 0.7601 P
0.6667 0.3333 0.2399 P
0.0024 0.6572 0.3024 S
0.3452 0.0024 0.6976 S
0.3333 0.6667 0.9855 S
0.9976 0.3428 0.6976 S
0.6667 0.3333 0.0145 S
0.3428 0.3452 0.3024 S
0.6572 0.6548 0.6976 S
0.6548 0.9976 0.3024 S
0.0000 0.0000 0.5000 Ho
0.0000 0.0000 0.0000 Pb
```

Output
DFT total energy: -4.839 eV per atom
formation energy from raw total energies: -0.495 eV per atom


Entry 11:
This record from the Alexandria database describes ScV2Ag2 after structural relaxation. The functional is PBE.

```
ScV2Ag2
1.0
7.6510 0.0000 0.0000
0.0000 7.6510 0.0000
0.0000 0.0000 3.0612
Sc V Ag
2 4 4
Direct
0.0000 0.0000 0.0000 Sc
0.5000 0.5000 0.0000 Sc
0.9134 0.5866 0.0000 V
0.0866 0.4134 0.0000 V
0.5866 0.0866 0.0000 V
0.4134 0.9134 0.0000 V
0.7948 0.2948 0.5000 Ag
0.2948 0.2052 0.5000 Ag
0.7052 0.7948 0.5000 Ag
0.2052 0.7052 0.5000 Ag
```

Output
excess energy over the best structure of this formula in the dataset: 0.00 eV/f.u.
DFT total energy: -5.742 eV per atom
calculated formation energy: 313 meV/atom


Entry 12:
This record from the Alexandria database describes Cs2Ta2TlO7 after structural relaxation. The functional is PBE.

```
Cs2Ta2TlO7
1.0
-1.4563 -1.5159 3.4476
-2.4721 -2.4039 -2.1013
6.8692 -10.8757 0.4829
O Ta Cs Tl
7 2 2 1
Direct
0.5809 0.0809 0.8381 O
0.6610 0.6610 0.6777 O
0.5000 0.5000 0.0000 O
0.9191 0.4191 0.1619 O
0.0809 0.5809 0.8381 O
0.4191 0.9191 0.1619 O
0.3390 0.3390 0.3223 O
0.4133 0.4133 0.1735 Ta
0.5867 0.5867 0.8265 Ta
0.8122 0.8122 0.3758 Cs
0.1878 0.1878 0.6242 Cs
0.0000 0.0000 0.0000 Tl
```

Output
DFT total energy: -7.383 eV per atom
formation energy from raw total energies: -2.176 eV per atom